Density functional theory data (meta-GGA SCAN) for a PBEsol-optimized structure of YMgTa2.

Cell and atoms, written as POSCAR:
```
YMgTa2
1.0
2.971 -0.001 0.000
-0.968 2.809 0.000
0.000 0.000 10.012
Mg Ta Y
1 2 1
direct
0.500 0.500 0.228
0.000 0.000 0.984
0.500 0.500 0.773
0.000 0.000 0.515
```

Results
Crystal system: orthorhombic
Formation enthalpy at 0 K: 0.272 eV/atom
Final energy: -164.90 eV per cell
SG: Cmm2

=====

Density functional theory data (meta-GGA SCAN) for a PBEsol-optimized structure of YMg3Ta.

Cell and atoms, written as POSCAR:
```
YMg3Ta
1.0
5.186 0.000 0.000
0.000 5.186 0.000
0.000 0.000 5.186
Y Mg Ta
1 3 1
direct
0.500 0.500 0.500
0.000 0.500 0.000
0.000 0.000 0.500
0.500 0.000 0.000
0.000 0.000 0.000
```

Results
Crystal system: cubic
Formation enthalpy at 0 K: 0.977 eV/atom
Final energy: -104.46 eV per cell
SG: Pm-3m

=====

Please write out number 1 again, unchanged.
Density functional theory data (meta-GGA SCAN) for a PBEsol-optimized structure of YMgTa2.

Cell and atoms, written as POSCAR:
```
YMgTa2
1.0
2.971 -0.001 0.000
-0.968 2.809 0.000
0.000 0.000 10.012
Mg Ta Y
1 2 1
direct
0.500 0.500 0.228
0.000 0.000 0.984
0.500 0.500 0.773
0.000 0.000 0.515
```

Results
Crystal system: orthorhombic
Formation enthalpy at 0 K: 0.272 eV/atom
Final energy: -164.90 eV per cell
SG: Cmm2

=====

> What is the final energy in the second record?

-104.46 eV per cell

=====

> Number 2 is which compound?

YMg3Ta